P) The following is a DFT calculation (PBE) of KTlRe2 after structural relaxation.

Unit cell a=4.266 b=4.266 c=10.933 alpha=78.75 beta=78.75 gamma=90.00
Positions (direct):
Tl 0.000 0.000 0.000
Tl 0.750 0.250 0.500
Re 0.875 0.272 0.750
K 0.250 0.750 0.500
Re 0.728 0.625 0.250
K 0.500 0.500 0.000
Re 0.375 0.978 0.750
Re 0.022 0.125 0.250

Results
- space group = I-42d
- theoretical density (g/cm3) = 10.70



Q) The following is a DFT calculation (PBE) of KTlRe2 after structural relaxation.

Unit cell a=6.107 b=6.107 c=2.683 alpha=90.00 beta=90.00 gamma=124.75
Positions (direct):
Re 0.000 0.000 0.000
K 0.000 0.500 0.500
Tl 0.500 0.000 0.500
Re 0.500 0.500 0.000

Results
- space group = Cmmm
- theoretical density (g/cm3) = 12.44



Sorted by energy, starting with the most stable: P), Q).



P) The following is a DFT calculation (PBE) of KTlRe2 after structural relaxation.

Unit cell a=10.951 b=10.951 c=10.951 alpha=15.30 beta=15.30 gamma=15.30
Positions (direct):
Re 0.991 0.991 0.991
Re 0.509 0.509 0.509
K 0.750 0.750 0.750
Tl 0.250 0.250 0.250

Results
- space group = R-3m
- theoretical density (g/cm3) = 12.84



Q) The following is a DFT calculation (PBE) of KTlRe2 after structural relaxation.

Unit cell a=5.539 b=2.757 c=5.546 alpha=86.60 beta=90.00 gamma=90.00
Positions (direct):
Tl 0.500 0.250 0.250
K 0.500 0.750 0.750
Re 0.000 0.115 0.961
Re 0.000 0.385 0.539

Results
- space group = P2/m
- theoretical density (g/cm3) = 12.10



R) The following is a DFT calculation (PBE) of KTlRe2 after structural relaxation.

Unit cell a=3.115 b=3.115 c=9.416 alpha=90.00 beta=90.00 gamma=90.00
Positions (direct):
Tl 0.000 0.000 0.454
Re 0.000 0.000 0.072
Re 0.500 0.500 0.208
K 0.500 0.500 0.766

Results
- space group = P4mm
- theoretical density (g/cm3) = 11.19



S) The following is a DFT calculation (PBE) of KTlRe2 after structural relaxation.

Unit cell a=6.297 b=6.297 c=6.297 alpha=153.60 beta=133.11 gamma=54.61
Positions (direct):
Tl 0.250 0.750 0.500
Re 0.473 0.473 0.000
K 0.750 0.250 0.500
Re 0.027 0.027 0.000

Results
- space group = Immm
- theoretical density (g/cm3) = 12.68



Sorted by energy, starting with the most stable: R), Q), P), S).



P) The following is a DFT calculation (PBE) of KTlRe2 after structural relaxation.

Unit cell a=4.364 b=4.364 c=8.222 alpha=85.11 beta=85.11 gamma=40.23
Positions (direct):
Re 0.252 0.252 0.196
Re 0.981 0.981 0.092
Tl 0.514 0.514 0.439
K 0.753 0.753 0.774

Results
- space group = Cm
- theoretical density (g/cm3) = 10.16



Q) The following is a DFT calculation (PBE) of KTlRe2 after structural relaxation.

Unit cell a=2.829 b=2.829 c=10.771 alpha=90.00 beta=90.00 gamma=112.40
Positions (direct):
K 0.500 0.500 0.750
Re 0.000 0.000 0.474
Re 0.000 0.000 0.026
Tl 0.500 0.500 0.250

Results
- space group = Cmmm
- theoretical density (g/cm3) = 12.84



R) The following is a DFT calculation (PBE) of KTlRe2 after structural relaxation.

Unit cell a=3.675 b=3.675 c=7.504 alpha=90.00 beta=90.00 gamma=90.00
Positions (direct):
Re 0.000 0.000 0.404
Tl 0.500 0.500 0.250
Re 0.000 0.000 0.096
K 0.500 0.500 0.750

Results
- space group = P4/mmm
- theoretical density (g/cm3) = 10.09



S) The following is a DFT calculation (PBE) of KTlRe2 after structural relaxation.

Unit cell a=10.729 b=10.729 c=10.729 alpha=15.98 beta=15.98 gamma=15.98
Positions (direct):
K 0.747 0.747 0.747
Re 0.257 0.257 0.257
Re 0.986 0.986 0.986
Tl 0.510 0.510 0.510

Results
- space group = R3m
- theoretical density (g/cm3) = 12.53



Sorted by energy, starting with the most stable: P), S), Q), R).



P) The following is a DFT calculation (PBE) of KTlRe2 after structural relaxation.

Unit cell a=4.870 b=4.870 c=4.870 alpha=60.00 beta=60.00 gamma=60.00
Positions (direct):
Re 0.250 0.250 0.250
Tl 0.500 0.500 0.500
K 0.000 0.000 0.000
Re 0.750 0.750 0.750

Results
- space group = Fm-3m
- theoretical density (g/cm3) = 12.52



Q) The following is a DFT calculation (PBE) of KTlRe2 after structural relaxation.

Unit cell a=2.751 b=2.751 c=10.863 alpha=90.00 beta=90.00 gamma=90.00
Positions (direct):
Tl 0.500 0.500 0.250
Re 0.000 0.000 0.480
K 0.500 0.500 0.750
Re 0.000 0.000 0.020

Results
- space group = P4/mmm
- theoretical density (g/cm3) = 12.44



Sorted by energy, starting with the most stable: Q), P).



P) The following is a DFT calculation (PBE) of KTlRe2 after structural relaxation.

Unit cell a=5.993 b=5.993 c=5.993 alpha=141.61 beta=141.61 gamma=55.42
Positions (direct):
Re 0.500 0.500 0.000
Tl 0.250 0.750 0.500
K 0.750 0.250 0.500
Re 0.000 0.000 0.000

Results
- space group = I4/mmm
- theoretical density (g/cm3) = 12.41



Q) The following is a DFT calculation (PBE) of KTlRe2 after structural relaxation.

Unit cell a=6.386 b=6.386 c=6.386 alpha=150.02 beta=127.86 gamma=61.32
Positions (direct):
Re 0.062 0.062 0.000
Re 0.210 0.710 0.500
Tl 0.466 0.466 0.000
K 0.762 0.262 0.500

Results
- space group = Imm2
- theoretical density (g/cm3) = 10.04



R) The following is a DFT calculation (PBE) of KTlRe2 after structural relaxation.

Unit cell a=2.844 b=5.009 c=5.682 alpha=90.00 beta=90.00 gamma=90.00
Positions (direct):
K 0.000 0.500 0.500
Re 0.000 0.000 0.000
Tl 0.500 0.000 0.500
Re 0.500 0.500 0.000

Results
- space group = Pmmm
- theoretical density (g/cm3) = 12.64



Sorted by energy, starting with the most stable: Q), R), P).



P) The following is a DFT calculation (PBE) of KTlRe2 after structural relaxation.

Unit cell a=2.832 b=4.868 c=7.093 alpha=90.00 beta=90.00 gamma=90.00
Positions (direct):
Re 0.000 0.000 0.089
K 0.500 0.500 0.750
Tl 0.500 0.500 0.250
Re 0.000 0.000 0.411

Results
- space group = Pmmm
- theoretical density (g/cm3) = 10.46



Q) The following is a DFT calculation (PBE) of KTlRe2 after structural relaxation.

Unit cell a=5.346 b=6.244 c=2.727 alpha=80.09 beta=83.79 gamma=113.86
Positions (direct):
Re 0.000 0.000 0.000
K 0.500 0.500 0.000
Re 0.500 0.000 0.500
Tl 0.000 0.500 0.500

Results
- space group = C2/m
- theoretical density (g/cm3) = 12.72



R) The following is a DFT calculation (PBE) of KTlRe2 after structural relaxation.

Unit cell a=2.898 b=2.898 c=10.674 alpha=90.00 beta=90.00 gamma=113.36
Positions (direct):
Re 0.000 0.000 0.039
K 0.500 0.500 0.764
Tl 0.000 0.000 0.471
Re 0.500 0.500 0.226

Results
- space group = Cmm2
- theoretical density (g/cm3) = 12.43



Sorted by energy, starting with the most stable: R), P), Q).